[1]
10
Lattice="5.192 -5.245 0.000 5.192 5.245 0.000 -5.188 0.000 5.242" Properties=species:S:1:pos:R:3 comment="PBE La6CoSn2H, optimized geometry" energy_ha_per_atom=-0.194 volume_a3_per_atom=28.55 crystal_system=monoclinic sg="C2/m, No. 12" pbc="T T T"
La -0.003 0.000 2.577
La 5.192 2.678 0.000
La 2.615 0.000 0.005
La 2.580 0.000 5.237
La 5.192 -2.678 0.000
La 5.199 0.000 2.664
Co 5.192 0.000 0.000
Sn 2.598 2.626 2.621
Sn 2.598 -2.626 2.621
H 0.000 0.000 0.000


[2]
4
Lattice="0.000 3.845 3.845 3.845 0.000 3.845 3.845 3.845 0.000" Properties=species:S:1:pos:R:3 comment="PBE Ca2MgSe, optimized geometry" volume_a3_per_atom=28.42 crystal_system=cubic formation_energy_uncorrected_ev_per_fu=-2.022 sg="Fm-3m, No. 225" polymorph_energy_mev_per_atom=381 pbc="T T T"
Ca 1.923 1.923 1.923
Ca 5.768 5.768 5.768
Mg 0.000 0.000 0.000
Se 3.845 3.845 3.845